## SiSb2Te (PBE-GGA)

Data for a geometry-optimized SiSb2Te structure.

Structure (POSCAR):
```
SiSb2Te
1.0
-0.8243 1.4396 -3.1605
-3.0568 -1.8406 -0.0412
-3.6457 5.9726 3.6715
Sb Te Si
2 1 1
direct
0.0000 0.0000 0.0146
0.5000 0.5000 0.2694
0.5000 0.5000 0.6996
0.0000 0.0000 0.5164
```

Computed properties:
For the total energy, the calculation gives -3.824 eV per atom. The calculation puts the formation energy from raw total energies at 378 meV per atom. For the density of states at the Fermi level, the calculation gives 2.235 states/eV/f.u. The energy above the lowest structure with this stoichiometry comes out at 294 meV/atom.